A plane-wave DFT calculation with PBE was carried out for crystalline CsKBiSb at its relaxed geometry.

E_form (uncorrected)   -277 meV per atom
Crystal system   orthorhombic

a b c (Å): 5.241 6.518 12.165
angles (deg): 90.00 90.00 90.00
Space group Imm2 (No. 44)
Asymmetric unit:
1 Cs 0.000 0.000 0.000 [2 per cell]
2 K 0.000 0.000 0.336 [2 per cell]
3 Bi 0.000 0.500 0.236 [2 per cell]
4 Sb 0.000 0.000 0.621 [2 per cell]